No. 1
A relaxed structure of KCuSb2. Source: the Alexandria database, functional GGA-PBE.

POSCAR file:
```
KCuSb2
1.0
3.7679 0.0283 0.0000
-0.0279 3.7679 0.0000
0.0000 0.0000 7.9163
K Cu Sb
1 1 2
direct
0.5000 0.5000 0.7433
0.0000 0.0000 0.3919
0.5000 0.5000 0.3064
0.0000 0.0000 0.0584
```

Summary:
As for the space-group type: No. 99. Its density of states at the Fermi level is 1.702 states/eV/f.u. The energy above the lowest structure with this stoichiometry is 186 meV per atom.


No. 2
A relaxed structure of KCuSb. Source: the Alexandria database, functional GGA-PBE.

POSCAR file:
```
KCuSb
1.0
4.3406 0.0000 0.0000
0.0000 8.3507 0.0000
0.0000 0.0000 10.8923
Cu Sb K
4 4 4
direct
0.9999 0.1708 0.4939
0.4999 0.3292 0.5061
0.5001 0.8292 0.9939
0.0001 0.6708 0.0061
0.0001 0.9776 0.0391
0.4999 0.0224 0.5391
0.9999 0.4776 0.4609
0.5001 0.5224 0.9609
0.0001 0.7596 0.7127
0.9999 0.2596 0.7873
0.5001 0.7404 0.2873
0.4999 0.2404 0.2127
```

Summary:
As for the space-group type: No. 62. Its density of states at the Fermi level is 3.388 states/eV/f.u. The energy above the lowest structure with this stoichiometry is 30 meV per atom.


No. 3
A relaxed structure of KCu3Sb2. Source: the Alexandria database, functional GGA-PBE.

POSCAR file:
```
KCu3Sb2
1.0
4.0706 0.0000 1.1207
0.5591 8.0084 5.9226
-0.5087 1.1993 9.8014
Cu Sb K
6 4 2
direct
0.5674 0.3684 0.4967
0.9666 0.7533 0.3135
0.4418 0.3049 0.8115
0.5582 0.6951 0.1885
0.0334 0.2467 0.6865
0.4326 0.6316 0.5033
0.8810 0.5226 0.7155
0.5732 0.0207 0.8329
0.1190 0.4774 0.2845
0.4268 0.9793 0.1671
0.2244 0.7594 0.7919
0.7756 0.2406 0.2081
```

Summary:
As for the space-group type: No. 12. Its density of states at the Fermi level is 1.991 states/eV/f.u. The energy above the lowest structure with this stoichiometry is 24 meV per atom.